Entry 1:
# PBE P2HPdCl, optimized geometry
# energy above the lowest structure with this stoichiometry: 0 meV/atom
# total magnetic moment: 0.0 μB/f.u.
# uncorrected energy: -18.19 eV per cell
data_P2HPdCl
_symmetry_space_group_name_H-M 'P 1'
_symmetry_Int_Tables_number 1
_symmetry_space_group_name_Hall 'P 1'
_cell_length_a 3.534
_cell_length_b 3.534
_cell_length_c 6.589
_cell_angle_alpha 90.00
_cell_angle_beta 90.00
_cell_angle_gamma 90.00
loop_
_atom_site_label
_atom_site_fract_x
_atom_site_fract_y
_atom_site_fract_z
_atom_site_occupancy
Cl1 0.000 0.000 0.500 1
Pd1 0.500 0.500 0.500 1
H1 0.000 0.000 0.000 1
P1 0.000 0.500 0.000 1
P2 0.500 0.000 0.000 1

=====

Entry 2:
# PBE P2HPdCl, optimized geometry
# energy above the lowest structure with this stoichiometry: 370 meV/atom
# total magnetic moment: 1.0 μB/f.u.
# uncorrected energy: -16.34 eV per cell
data_P2HPdCl
_symmetry_space_group_name_H-M 'P 1'
_symmetry_Int_Tables_number 1
_symmetry_space_group_name_Hall 'P 1'
_cell_length_a 4.578
_cell_length_b 4.578
_cell_length_c 5.373
_cell_angle_alpha 90.00
_cell_angle_beta 90.00
_cell_angle_gamma 90.00
loop_
_atom_site_label
_atom_site_fract_x
_atom_site_fract_y
_atom_site_fract_z
_atom_site_occupancy
Pd1 0.000 0.000 0.000 1
P1 0.000 0.500 0.000 1
P2 0.500 0.000 0.000 1
Cl1 0.000 0.000 0.500 1
H1 0.500 0.500 0.500 1

=====

Entry 3:
# PBE Pr8P3HCl4, optimized geometry
# total magnetic moment: 0.0 μB/f.u.
# uncorrected energy: -87.33 eV per cell
data_Pr8P3HCl4
_symmetry_space_group_name_H-M 'P 1'
_symmetry_Int_Tables_number 1
_symmetry_space_group_name_Hall 'P 1'
_cell_length_a 8.212
_cell_length_b 8.379
_cell_length_c 8.212
_cell_angle_alpha 119.34
_cell_angle_beta 120.00
_cell_angle_gamma 90.00
loop_
_atom_site_label
_atom_site_fract_x
_atom_site_fract_y
_atom_site_fract_z
_atom_site_occupancy
P1 0.500 0.500 0.000 1
P2 0.500 0.500 0.500 1
P3 0.000 0.500 0.500 1
Pr1 0.236 0.719 0.983 1
Pr2 0.259 0.277 0.518 1
Pr3 0.236 0.719 0.471 1
Pr4 0.764 0.281 0.529 1
Pr5 0.741 0.723 0.482 1
Pr6 0.252 0.281 0.017 1
Pr7 0.748 0.719 0.983 1
Pr8 0.764 0.281 0.017 1
H1 0.000 0.500 0.000 1
Cl1 0.500 0.000 0.000 1
Cl2 0.000 0.000 0.000 1
Cl3 0.000 0.000 0.500 1
Cl4 0.500 0.000 0.500 1